1.
VASP calculation (GGA-PBE) on an optimized crystal structure of PaTi2Zn.

a = 2.9377 Å, b = 2.9377 Å, c = 30.1071 Å
α = 90.00°, β = 90.00°, γ = 120.00°
Space group R-3m (No. 166, hexagonal axes)
Asymmetric unit:
1 Pa 0.0000 0.0000 0.0000 (multiplicity 3)
2 Ti 0.0000 0.0000 0.0926 (multiplicity 6)
3 Zn 0.0000 0.0000 0.5000 (multiplicity 3)

Summary:
* Fermi-level density of states: 1.306 states/eV/atom
* E_form: 215 meV/atom
* uncorrected energy: -6.425 eV per atom
* ΔE to the lowest computed polymorph: 214 meV/atom

2.
VASP calculation (GGA-PBE) on an optimized crystal structure of ScMoBr2.

a = 3.745 Å, b = 3.369 Å, c = 8.120 Å
α = 90.00°, β = 103.11°, γ = 90.00°
Space group Pm (No. 6)
Asymmetric unit:
1 Sc 0.000 0.000 0.000 (multiplicity 1)
2 Mo 0.583 0.500 0.169 (multiplicity 1)
3 Br 0.414 0.500 0.825 (multiplicity 1)
4 Br 0.703 0.000 0.413 (multiplicity 1)

Summary:
* Fermi-level density of states: 0.879 states/eV/atom
* uncorrected energy: -5.486 eV per atom
* uncorrected formation energy: -0.3586 eV/atom
* ΔE to the lowest computed polymorph: 0 meV/atom

3.
VASP calculation (GGA-PBE) on an optimized crystal structure of Li3Re4.

a = 4.5658 Å, b = 4.5658 Å, c = 5.0096 Å
α = 90.00°, β = 90.00°, γ = 120.00°
Space group P6/mmm (No. 191)
Asymmetric unit:
1 Li 0.0000 0.5000 0.0000 (multiplicity 3)
2 Re 0.0000 0.0000 0.2449 (multiplicity 2)
3 Re 0.3333 0.6667 0.5000 (multiplicity 2)

Summary:
* Fermi-level density of states: 0.577 states/eV/atom
* E_form: 272 meV/atom
* uncorrected energy: -7.662 eV per atom

4.
VASP calculation (GGA-PBE) on an optimized crystal structure of La2FeOsC.

a = 5.298 Å, b = 5.298 Å, c = 3.892 Å
α = 90.00°, β = 90.00°, γ = 90.00°
Space group P4/mmm (No. 123)
Asymmetric unit:
1 La 0.000 0.500 0.000 (multiplicity 2)
2 Fe 0.000 0.000 0.500 (multiplicity 1)
3 Os 0.500 0.500 0.500 (multiplicity 1)
4 C 0.500 0.500 0.000 (multiplicity 1)

Summary:
* Fermi-level density of states: 1.622 states/eV/atom
* E_form: 98 meV/atom
* uncorrected energy: -7.657 eV per atom

5.
VASP calculation (GGA-PBE) on an optimized crystal structure of ThAlRu2.

a = 3.318 Å, b = 3.318 Å, c = 6.539 Å
α = 90.00°, β = 90.00°, γ = 90.00°
Space group P4/mmm (No. 123)
Asymmetric unit:
1 Th 0.000 0.000 0.000 (multiplicity 1)
2 Al 0.000 0.000 0.500 (multiplicity 1)
3 Ru 0.500 0.500 0.284 (multiplicity 2)

Summary:
* Fermi-level density of states: 0.641 states/eV/atom
* E_form: -355 meV/atom
* uncorrected energy: -7.783 eV per atom

6.
VASP calculation (GGA-PBE) on an optimized crystal structure of AcSmSi2Pd2.

a = 4.2663 Å, b = 4.2663 Å, c = 8.5855 Å
α = 90.00°, β = 90.00°, γ = 120.00°
Space group P-3m1 (No. 164)
Asymmetric unit:
1 Ac 0.0000 0.0000 0.0000 (multiplicity 1)
2 Sm 0.0000 0.0000 0.5000 (multiplicity 1)
3 Si 0.3333 0.6667 0.2657 (multiplicity 2)
4 Pd 0.3333 0.6667 0.7323 (multiplicity 2)

Summary:
* Fermi-level density of states: 0.672 states/eV/atom
* uncorrected energy: -5.899 eV per atom
* uncorrected formation energy: -0.8894 eV/atom

7.
VASP calculation (GGA-PBE) on an optimized crystal structure of Cd2BPd6.

a = 6.7844 Å, b = 6.7844 Å, c = 4.2102 Å
α = 90.00°, β = 90.00°, γ = 120.00°
Space group P-31m (No. 162)
Asymmetric unit:
1 Cd 0.3333 0.6667 0.0000 (multiplicity 2)
2 B 0.0000 0.0000 0.5000 (multiplicity 1)
3 Pd 0.0000 0.2664 0.7489 (multiplicity 6)

Summary:
* Fermi-level density of states: 0.447 states/eV/atom
* E_form: 40 meV/atom
* uncorrected energy: -4.367 eV per atom

8.
VASP calculation (GGA-PBE) on an optimized crystal structure of Ac6Pt3Se2Cl.

a = 20.123 Å, b = 4.380 Å, c = 9.296 Å
α = 90.00°, β = 108.26°, γ = 90.00°
Space group C2/m (No. 12)
Asymmetric unit:
1 Ac 0.006 0.000 0.226 (multiplicity 4)
2 Ac 0.161 0.500 0.098 (multiplicity 4)
3 Ac 0.176 0.500 0.571 (multiplicity 4)
4 Pt 0.000 0.500 0.000 (multiplicity 2)
5 Pt 0.166 0.000 0.334 (multiplicity 4)
6 Se 0.164 0.000 0.830 (multiplicity 4)
7 Cl 0.000 0.500 0.500 (multiplicity 2)

Summary:
* Fermi-level density of states: 0.477 states/eV/atom
* uncorrected energy: -5.797 eV per atom
* uncorrected formation energy: -1.4978 eV/atom

9.
VASP calculation (GGA-PBE) on an optimized crystal structure of Ta2CoBr.

a = 3.015 Å, b = 3.015 Å, c = 7.116 Å
α = 90.00°, β = 90.00°, γ = 90.00°
Space group P4/mmm (No. 123)
Asymmetric unit:
1 Ta 0.000 0.000 0.223 (multiplicity 2)
2 Co 0.500 0.500 0.000 (multiplicity 1)
3 Br 0.500 0.500 0.500 (multiplicity 1)

Summary:
* Fermi-level density of states: 1.085 states/eV/atom
* uncorrected energy: -7.814 eV per atom
* uncorrected formation energy: 0.3069 eV/atom
* ΔE to the lowest computed polymorph: 221 meV/atom

10.
VASP calculation (GGA-PBE) on an optimized crystal structure of CaPW3.

a = 4.580 Å, b = 4.580 Å, c = 4.580 Å
α = 90.00°, β = 90.00°, γ = 90.00°
Space group Pm-3m (No. 221)
Asymmetric unit:
1 Ca 0.000 0.000 0.000 (multiplicity 1)
2 P 0.500 0.500 0.500 (multiplicity 1)
3 W 0.000 0.500 0.500 (multiplicity 3)

Summary:
* Fermi-level density of states: 1.207 states/eV/atom
* E_form: 801 meV/atom
* uncorrected energy: -8.453 eV per atom
* ΔE to the lowest computed polymorph: 0 meV/atom

11.
VASP calculation (GGA-PBE) on an optimized crystal structure of LiSm2Ga9.

a = 4.286 Å, b = 4.286 Å, c = 12.555 Å
α = 90.00°, β = 90.00°, γ = 90.00°
Space group P4/mmm (No. 123)
Asymmetric unit:
1 Li 0.000 0.000 0.000 (multiplicity 1)
2 Sm 0.000 0.000 0.321 (multiplicity 2)
3 Ga 0.000 0.500 0.143 (multiplicity 4)
4 Ga 0.000 0.500 0.500 (multiplicity 2)
5 Ga 0.500 0.500 0.000 (multiplicity 1)
6 Ga 0.500 0.500 0.342 (multiplicity 2)

Summary:
* Fermi-level density of states: 0.278 states/eV/atom
* E_form: -409 meV/atom
* uncorrected energy: -3.625 eV per atom

12.
VASP calculation (GGA-PBE) on an optimized crystal structure of KCa2Sb.

a = 10.122 Å, b = 10.122 Å, c = 7.195 Å
α = 90.00°, β = 90.00°, γ = 90.00°
Space group I-42d (No. 122)
Asymmetric unit:
1 K 0.000 0.000 0.000 (multiplicity 4)
2 Ca 0.155 0.750 0.625 (multiplicity 8)
3 Sb 0.000 0.000 0.500 (multiplicity 4)

Summary:
* Fermi-level density of states: 0.179 states/eV/atom
* uncorrected energy: -2.595 eV per atom
* uncorrected formation energy: -0.2888 eV/atom

13.
VASP calculation (GGA-PBE) on an optimized crystal structure of Ca8TlH2.

a = 13.490 Å, b = 7.539 Å, c = 7.476 Å
α = 90.00°, β = 106.21°, γ = 90.00°
Space group C2/m (No. 12)
Asymmetric unit:
1 Ca 0.116 0.242 0.256 (multiplicity 8)
2 Ca 0.126 0.500 0.717 (multiplicity 4)
3 Ca 0.168 0.000 0.872 (multiplicity 4)
4 Tl 0.000 0.000 0.500 (multiplicity 2)
5 H 0.197 0.000 0.184 (multiplicity 4)

Summary:
* Fermi-level density of states: 0.913 states/eV/atom
* uncorrected energy: -2.436 eV per atom

14.
VASP calculation (GGA-PBE) on an optimized crystal structure of Li2PmY2In5.

a = 10.454 Å, b = 10.454 Å, c = 4.398 Å
α = 90.00°, β = 90.00°, γ = 90.00°
Space group P4/mbm (No. 127)
Asymmetric unit:
1 Li 0.120 0.380 0.000 (multiplicity 4)
2 Pm 0.000 0.000 0.000 (multiplicity 2)
3 Y 0.174 0.674 0.000 (multiplicity 4)
4 In 0.000 0.500 0.500 (multiplicity 2)
5 In 0.075 0.215 0.500 (multiplicity 8)

Summary:
* Fermi-level density of states: 0.563 states/eV/atom
* E_form: -390 meV/atom
* uncorrected energy: -3.910 eV per atom

15.
VASP calculation (GGA-PBE) on an optimized crystal structure of Tl3GePb.

a = 5.965 Å, b = 5.965 Å, c = 5.965 Å
α = 90.00°, β = 90.00°, γ = 90.00°
Space group Pm-3m (No. 221)
Asymmetric unit:
1 Tl 0.000 0.000 0.500 (multiplicity 3)
2 Ge 0.500 0.500 0.500 (multiplicity 1)
3 Pb 0.000 0.000 0.000 (multiplicity 1)

Summary:
* Fermi-level density of states: 1.023 states/eV/atom
* E_form: 740 meV/atom
* uncorrected energy: -2.345 eV per atom
* ΔE to the lowest computed polymorph: 371 meV/atom

16.
VASP calculation (GGA-PBE) on an optimized crystal structure of LiTcAu2.

a = 3.839 Å, b = 3.857 Å, c = 8.658 Å
α = 90.00°, β = 90.00°, γ = 90.00°
Space group Cmm2 (No. 35)
Asymmetric unit:
1 Li 0.000 0.000 0.000 (multiplicity 2)
2 Tc 0.000 0.500 0.755 (multiplicity 2)
3 Au 0.000 0.000 0.505 (multiplicity 2)
4 Au 0.000 0.500 0.227 (multiplicity 2)

Summary:
* Fermi-level density of states: 0.740 states/eV/atom
* E_form: 137 meV/atom
* uncorrected energy: -4.572 eV per atom
* ΔE to the lowest computed polymorph: 185 meV/atom

17.
VASP calculation (GGA-PBE) on an optimized crystal structure of Dy4Y7Pu.

a = 16.372 Å, b = 5.780 Å, c = 9.356 Å
α = 90.00°, β = 120.94°, γ = 90.00°
Space group C2/m (No. 12)
Asymmetric unit:
1 Dy 0.093 0.000 0.456 (multiplicity 4)
2 Dy 0.249 0.000 0.284 (multiplicity 4)
3 Y 0.000 0.000 0.000 (multiplicity 2)
4 Y 0.056 0.500 0.725 (multiplicity 4)
5 Y 0.161 0.500 0.311 (multiplicity 4)
6 Y 0.206 0.000 0.889 (multiplicity 4)
7 Pu 0.000 0.500 0.000 (multiplicity 2)

Summary:
* Fermi-level density of states: 2.112 states/eV/atom
* E_form: 448 meV/atom
* uncorrected energy: -6.051 eV per atom

18.
VASP calculation (GGA-PBE) on an optimized crystal structure of La2TaC2.

a = 7.652 Å, b = 7.652 Å, c = 3.160 Å
α = 90.00°, β = 90.00°, γ = 90.00°
Space group P4/mbm (No. 127)
Asymmetric unit:
1 La 0.136 0.364 0.000 (multiplicity 4)
2 Ta 0.000 0.000 0.000 (multiplicity 2)
3 C 0.169 0.669 0.500 (multiplicity 4)

Summary:
* Fermi-level density of states: 0.667 states/eV/atom
* E_form: 1327 meV/atom
* uncorrected energy: -6.704 eV per atom
* ΔE to the lowest computed polymorph: 59 meV/atom

19.
VASP calculation (GGA-PBE) on an optimized crystal structure of Ac4PrY3Se8.

a = 8.4690 Å, b = 8.4690 Å, c = 21.7062 Å
α = 90.00°, β = 90.00°, γ = 120.00°
Space group R-3m (No. 166, hexagonal axes)
Asymmetric unit:
1 Ac 0.0000 0.0000 0.0000 (multiplicity 3)
2 Ac 0.0000 0.5000 0.0000 (multiplicity 9)
3 Pr 0.0000 0.0000 0.5000 (multiplicity 3)
4 Y 0.0000 0.5000 0.5000 (multiplicity 9)
5 Se 0.0000 0.0000 0.2403 (multiplicity 6)
6 Se 0.0078 0.5039 0.7580 (multiplicity 18)

Summary:
* Fermi-level density of states: 0.556 states/eV/atom
* uncorrected energy: -6.093 eV per atom
* uncorrected formation energy: -1.8131 eV/atom

20.
VASP calculation (GGA-PBE) on an optimized crystal structure of VPdS2.

a = 3.075 Å, b = 23.046 Å, c = 3.687 Å
α = 90.00°, β = 90.00°, γ = 90.00°
Space group Cmcm (No. 63)
Asymmetric unit:
1 V 0.000 0.180 0.250 (multiplicity 4)
2 Pd 0.000 0.459 0.250 (multiplicity 4)
3 S 0.000 0.290 0.250 (multiplicity 4)
4 S 0.000 0.397 0.750 (multiplicity 4)

Summary:
* Fermi-level density of states: 0.588 states/eV/atom
* uncorrected energy: -6.123 eV per atom
* uncorrected formation energy: -0.4816 eV/atom